Material: Ca2MoN3
Method: DFT, PBE-GGA
State: optimized geometry

POSCAR file:
```
Ca2MoN3
1.0
-4.7678 -0.5208 3.6745
0.9385 -3.2981 -4.9747
5.0903 -8.9253 6.2244
N Mo Ca
12 4 8
direct
0.1403 0.3218 0.4643
0.6256 0.3744 0.7500
0.3218 0.1403 0.9643
0.5009 0.8394 0.6238
0.8597 0.6782 0.5357
0.6782 0.8597 0.0357
0.0066 0.9934 0.2500
0.3744 0.6256 0.2500
0.9934 0.0066 0.7500
0.4991 0.1606 0.3762
0.1606 0.4991 0.8762
0.8394 0.5009 0.1238
0.7161 0.7217 0.6656
0.2839 0.2783 0.3344
0.7217 0.7161 0.1656
0.2783 0.2839 0.8344
0.0217 0.4297 0.6421
0.3429 0.1159 0.5769
0.8841 0.6571 0.9231
0.4297 0.0217 0.1421
0.1159 0.3429 0.0769
0.9783 0.5703 0.3579
0.5703 0.9783 0.8579
0.6571 0.8841 0.4231
```

Values from the calculation:
Crystal system ... monoclinic
Distance to the lowest polymorph of the same formula ... 0 meV per atom
ΔE_f (raw) ... -0.880 eV per atom
Raw total energy ... -7.52 eV/atom